GGA-PBE KIn2Sn2, relaxed; calculated formation energy = -6 kJ per mole of atoms; energy above the most stable polymorph in this dataset = 93 meV per atom
1.0
9.305 0.000 0.000
0.000 9.305 0.000
0.000 0.000 3.547
K In Sn
2 4 4
direct
0.000 0.000 0.000
0.500 0.500 0.000
0.158 0.342 0.500
0.342 0.842 0.500
0.658 0.158 0.500
0.842 0.658 0.500
0.129 0.629 0.000
0.371 0.129 0.000
0.629 0.871 0.000
0.871 0.371 0.000



GGA-PBE Mg4HgI8, relaxed; formation energy without anion corrections = -0.92 eV per atom
1.0
10.440 -2.110 0.000
10.440 2.110 0.000
-9.345 0.000 10.953
Mg Hg I
4 1 8
direct
0.000 0.000 0.000
0.330 0.330 0.665
0.512 0.512 0.357
0.817 0.817 0.308
0.664 0.664 0.831
0.003 0.003 0.490
0.032 0.032 0.240
0.297 0.297 0.425
0.327 0.327 0.174
0.374 0.374 0.908
0.624 0.624 0.089
0.706 0.706 0.575
0.956 0.956 0.757



GGA-PBE Sr2PbW, relaxed; calculated formation energy = 103 kJ per mole of atoms
1.0
9.021 0.000 0.000
0.000 9.021 0.000
0.000 0.000 6.127
Sr Pb W
8 4 4
direct
0.215 0.250 0.125
0.250 0.715 0.375
0.250 0.785 0.875
0.285 0.250 0.625
0.715 0.750 0.625
0.750 0.215 0.875
0.750 0.285 0.375
0.785 0.750 0.125
0.000 0.000 0.500
0.000 0.500 0.750
0.500 0.000 0.250
0.500 0.500 0.000
0.000 0.000 0.000
0.000 0.500 0.250
0.500 0.000 0.750
0.500 0.500 0.500



GGA-PBE Tm2ZnSi2Pd5, relaxed; formation energy without anion corrections = -0.73 eV per atom
1.0
9.926 0.000 0.000
0.000 9.926 0.000
0.000 0.000 3.479
Tm Zn Si Pd
4 2 4 10
direct
0.175 0.325 0.000
0.325 0.825 0.000
0.675 0.175 0.000
0.825 0.675 0.000
0.000 0.000 0.000
0.500 0.500 0.000
0.127 0.627 0.000
0.373 0.127 0.000
0.627 0.873 0.000
0.873 0.373 0.000
0.000 0.500 0.500
0.055 0.792 0.500
0.208 0.055 0.500
0.292 0.555 0.500
0.445 0.292 0.500
0.500 0.000 0.500
0.555 0.708 0.500
0.708 0.445 0.500
0.792 0.945 0.500
0.945 0.208 0.500



GGA-PBE GaPd5Au, relaxed; calculated formation energy = -15 kJ per mole of atoms; energy above the most stable polymorph in this dataset = 27 meV per atom
1.0
6.661 -2.493 0.000
6.661 2.493 0.000
-5.436 0.000 6.898
Ga Pd Au
2 10 2
direct
0.011 0.989 0.750
0.989 0.011 0.250
0.062 0.557 0.402
0.165 0.693 0.932
0.307 0.835 0.568
0.443 0.938 0.098
0.487 0.513 0.250
0.513 0.487 0.750
0.557 0.062 0.902
0.693 0.165 0.432
0.835 0.307 0.068
0.938 0.443 0.598
0.000 0.500 0.000
0.500 0.000 0.500



GGA-PBE NbNiGe, relaxed; calculated formation energy = -46 kJ per mole of atoms
1.0
6.361 0.000 0.000
0.000 3.778 0.000
-0.182 0.000 10.895
Nb Ni Ge
6 6 6
direct
0.015 0.250 0.204
0.347 0.750 0.576
0.478 0.750 0.885
0.522 0.250 0.115
0.653 0.250 0.424
0.985 0.750 0.796
0.007 0.250 0.588
0.161 0.250 0.954
0.358 0.750 0.298
0.642 0.250 0.702
0.839 0.750 0.046
0.993 0.750 0.412
0.222 0.750 0.082
0.232 0.250 0.410
0.278 0.250 0.746
0.722 0.750 0.254
0.768 0.750 0.590
0.778 0.250 0.918



GGA-PBE HfScPa2, relaxed; calculated formation energy = 13 kJ per mole of atoms; energy above the most stable polymorph in this dataset = 56 meV per atom
1.0
3.112 0.000 0.000
0.000 3.112 0.000
0.000 0.000 9.984
Hf Sc Pa
1 1 2
direct
0.000 0.000 0.000
0.000 0.000 0.500
0.500 0.500 0.245
0.500 0.500 0.755



GGA-PBE NbAlS2Cl, relaxed; formation energy without anion corrections = 0.42 eV per atom; energy above the most stable polymorph in this dataset = 823 meV per atom
1.0
4.407 0.000 0.000
0.000 4.407 0.000
0.000 0.000 5.826
Nb Al S Cl
1 1 2 1
direct
0.000 0.000 0.000
0.000 0.000 0.500
0.000 0.500 0.500
0.500 0.000 0.500
0.500 0.500 0.000